LaPrP2Os2Se2 after structural relaxation, computed with PBE.

Structure (CIF):
```
data_LaPrP2Os2Se2
_cell_length_a 4.132
_cell_length_b 4.132
_cell_length_c 9.702
_cell_angle_alpha 90.00
_cell_angle_beta 90.00
_cell_angle_gamma 90.00
_space_group_name_H-M_alt 'P 1'
_space_group_IT_number 1
_space_group_name_Hall 'P 1'
loop_
_atom_site_label
_atom_site_type_symbol
_atom_site_fract_x
_atom_site_fract_y
_atom_site_fract_z
La1 La 0.000 0.000 0.000
Pr1 Pr 0.500 0.500 0.531
P1 P 0.000 0.000 0.389
P2 P 0.500 0.500 0.144
Os1 Os 0.000 0.500 0.266
Os2 Os 0.500 0.000 0.266
Se1 Se 0.000 0.500 0.763
Se2 Se 0.500 0.000 0.763
```

The theoretical density comes out at 8.8 g cm⁻³. The calculation puts the total energy at -7.21 eV per atom.

LaGa8Fe2 after structural relaxation, computed with PBE.

Structure (CIF):
```
data_LaGa8Fe2
_cell_length_a 12.536
_cell_length_b 14.359
_cell_length_c 4.079
_cell_angle_alpha 90.00
_cell_angle_beta 90.00
_cell_angle_gamma 90.00
_space_group_name_H-M_alt 'P 1'
_space_group_IT_number 1
_space_group_name_Hall 'P 1'
loop_
_atom_site_label
_atom_site_type_symbol
_atom_site_fract_x
_atom_site_fract_y
_atom_site_fract_z
La1 La 0.157 0.181 0.000
La2 La 0.343 0.681 0.000
La3 La 0.657 0.319 0.000
La4 La 0.843 0.819 0.000
Ga1 Ga 0.000 0.000 0.000
Ga2 Ga 0.000 0.500 0.500
Ga3 Ga 0.025 0.867 0.500
Ga4 Ga 0.048 0.319 0.500
Ga5 Ga 0.097 0.745 0.000
Ga6 Ga 0.163 0.621 0.500
Ga7 Ga 0.164 0.454 0.000
Ga8 Ga 0.168 0.009 0.500
Ga9 Ga 0.238 0.827 0.500
Ga10 Ga 0.262 0.327 0.500
Ga11 Ga 0.332 0.509 0.500
Ga12 Ga 0.336 0.954 0.000
Ga13 Ga 0.337 0.121 0.500
Ga14 Ga 0.403 0.245 0.000
Ga15 Ga 0.452 0.819 0.500
Ga16 Ga 0.475 0.367 0.500
Ga17 Ga 0.500 0.000 0.500
Ga18 Ga 0.500 0.500 0.000
Ga19 Ga 0.525 0.633 0.500
Ga20 Ga 0.548 0.181 0.500
Ga21 Ga 0.597 0.755 0.000
Ga22 Ga 0.663 0.879 0.500
Ga23 Ga 0.664 0.046 0.000
Ga24 Ga 0.668 0.491 0.500
Ga25 Ga 0.738 0.673 0.500
Ga26 Ga 0.762 0.173 0.500
Ga27 Ga 0.832 0.991 0.500
Ga28 Ga 0.836 0.546 0.000
Ga29 Ga 0.837 0.379 0.500
Ga30 Ga 0.903 0.255 0.000
Ga31 Ga 0.952 0.681 0.500
Ga32 Ga 0.975 0.133 0.500
Fe1 Fe 0.034 0.590 0.000
Fe2 Fe 0.152 0.903 0.000
Fe3 Fe 0.348 0.403 0.000
Fe4 Fe 0.466 0.090 0.000
Fe5 Fe 0.534 0.910 0.000
Fe6 Fe 0.652 0.597 0.000
Fe7 Fe 0.848 0.097 0.000
Fe8 Fe 0.966 0.410 0.000
```

The theoretical density comes out at 7.3 g cm⁻³. The calculation puts the total energy at -4.52 eV per atom.